(1)
PBE NaMg2Pb5, relaxed; DOS at the Fermi energy = 0.63 states/eV per atom; V = 229 Å³/f.u.; ΔE_f = -0.025 eV per atom
1.0
-0.5821 7.2278 -3.8574
-4.4571 -3.5242 -5.9307
-3.1644 -0.4685 8.3439
Na Mg Pb
2 4 10
Direct
0.7500 0.7500 0.5000
0.2500 0.2500 0.5000
0.1437 0.3563 0.0000
0.6437 0.1437 0.0000
0.3563 0.8563 0.0000
0.8563 0.6437 0.0000
0.4891 0.6942 0.6833
0.8058 0.0109 0.3167
0.0000 0.0000 0.0000
0.5000 0.5000 0.0000
0.1942 0.9891 0.6833
0.6942 0.1942 0.6833
0.9891 0.4891 0.6833
0.3058 0.8058 0.3167
0.0109 0.5109 0.3167
0.5109 0.3058 0.3167



(2)
PBE Te2RuRhF, relaxed; DOS at the Fermi energy = 1.39 states/eV per atom; V = 124 Å³/f.u.; uncorrected formation energy = 2.9 eV per formula unit
1.0
-1.8772 4.5632 1.1897
-2.6897 -0.0628 -4.0030
-3.7718 -2.2215 2.5692
Ru Te Rh F
1 2 1 1
Direct
0.0000 0.0000 0.0000
0.0000 0.0000 0.5000
0.5000 0.0000 0.0000
0.0000 0.5000 0.0000
0.5000 0.5000 0.5000



(3)
PBE Li4Cd, relaxed; DOS at the Fermi energy = 0.40 states/eV per atom; V = 92 Å³/f.u.; ΔE_f = -0.143 eV per atom
1.0
-3.6739 2.4185 0.1726
-1.7541 -2.2803 -5.3848
-3.0302 -4.8749 3.8092
Li Cd
8 2
Direct
0.0001 0.6007 0.2066
0.5001 0.8993 0.2934
0.9999 0.3993 0.7934
0.4999 0.1007 0.7066
0.9999 0.7953 0.6023
0.4999 0.7047 0.8977
0.0001 0.2047 0.3977
0.5001 0.2953 0.1023
0.0000 0.0000 0.0000
0.5000 0.5000 0.5000



(4)
PBE U2RuC, relaxed; DOS at the Fermi energy = 1.57 states/eV per atom; V = 62 Å³/f.u.; ΔE_f = 0.059 eV per atom
1.0
2.9794 0.0000 0.0000
0.0000 2.9794 0.0000
0.0000 0.0000 6.9617
Ru C U
1 1 2
Direct
0.5000 0.5000 0.5000
0.5000 0.5000 0.0000
0.0000 0.0000 0.7916
0.0000 0.0000 0.2084



(5)
PBE ZrRh, relaxed; DOS at the Fermi energy = 0.99 states/eV per atom; V = 38 Å³/f.u.; ΔE_f = -0.580 eV per atom
1.0
-9.4900 -3.8273 2.4086
3.5667 -5.9440 4.6077
-0.2666 4.2036 5.6291
Zr Rh
16 16
Direct
0.0000 0.2064 0.0000
0.0000 0.7936 0.0000
0.2500 0.5436 0.2500
0.2500 0.9564 0.2500
0.0000 0.7064 0.5000
0.0000 0.2936 0.5000
0.2500 0.0436 0.7500
0.2500 0.4564 0.7500
0.5000 0.2064 0.5000
0.5000 0.7936 0.5000
0.7500 0.5436 0.7500
0.7500 0.9564 0.7500
0.5000 0.7064 0.0000
0.5000 0.2936 0.0000
0.7500 0.0436 0.2500
0.7500 0.4564 0.2500
0.0000 0.0000 0.2998
0.0000 0.0000 0.7002
0.2500 0.7500 0.9502
0.2500 0.7500 0.5498
0.0000 0.5000 0.7998
0.0000 0.5000 0.2002
0.2500 0.2500 0.4502
0.2500 0.2500 0.0498
0.5000 0.0000 0.7998
0.5000 0.0000 0.2002
0.7500 0.7500 0.4502
0.7500 0.7500 0.0498
0.5000 0.5000 0.2998
0.5000 0.5000 0.7002
0.7500 0.2500 0.9502
0.7500 0.2500 0.5498



(6)
PBE Tm4CoTe2, relaxed; DOS at the Fermi energy = 0.51 states/eV per atom; V = 193 Å³/f.u.; uncorrected formation energy = -5.7 eV per formula unit
1.0
-4.0089 0.7282 -0.1953
-0.9251 -3.1955 7.0767
1.7205 10.8450 5.1220
Tm Co Te
8 2 4
Direct
0.0000 0.6353 0.8084
0.0000 0.3647 0.1916
0.0000 0.1353 0.6916
0.0000 0.8647 0.3084
0.5000 0.8058 0.5563
0.5000 0.1942 0.4437
0.5000 0.6942 0.0563
0.5000 0.3058 0.9437
0.0000 0.0000 0.5000
0.0000 0.5000 0.0000
0.5000 0.9338 0.8357
0.5000 0.0662 0.1643
0.5000 0.4338 0.6643
0.5000 0.5662 0.3357



- Which formula does entry 5 have?
  ZrRh